Computed, not measured: a relaxed structure of NbCo3F at the GGA+U level of DFT.

Cell and atoms, written as extended XYZ:
```
5
Lattice="-1.174 3.868 -0.714 0.430 -0.615 -4.036 -3.910 -1.229 -0.229" Properties=species:S:1:pos:R:3 pbc="T T T"
Nb -2.327 1.012 -2.490
Co 0.215 -0.307 -2.018
Co -1.955 -0.614 -0.115
Co -0.587 1.934 -0.357
F 0.000 0.000 0.000
```

Output
Size of the total moment ... 4.71 μB per cell
Calculated total energy ... -4.99 eV/atom
D(E_F) ... 0.9631 states/eV per atom
Volume ... 69 Å³/f.u.